VASP calculation (GGA-PBE) on a relaxed structure of Ca2TaAl.

Results
formation energy from the elements = 0.2538 eV/atom

Unit cell a=3.184 b=3.871 c=8.523 alpha=90.00 beta=90.00 gamma=90.00
Space group Pmm2 (No. 25)
Inequivalent atoms, fractional coordinates:
Ca 0.000 0.000 0.000 (multiplicity 1)
Ca 0.500 0.500 0.366 (multiplicity 1)
Ta 0.000 0.000 0.619 (multiplicity 1)
Al 0.500 0.500 0.759 (multiplicity 1)